i | First-principles (PBE) data for an optimized crystal structure of NdErZn2Pb2, as listed in the Open Quantum Materials Database.

Lattice parameters (Å, degrees): 4.6123 4.6123 16.2598 90.00 90.00 120.00
With the nearest neighbours (Å) after each atom.
Positions (direct):
Nd: 0.0000 0.0000 0.0000  6 Pb 3.25
Nd: 0.0000 0.0000 0.5000  6 Pb 3.25
Er: 0.0000 0.0000 0.2500  6 Zn 2.99
Er: 0.0000 0.0000 0.7500  6 Zn 2.99
Zn: 0.3333 0.6667 0.1669  1 Zn 2.70, 3 Pb 2.79, 3 Er 2.99
Zn: 0.3333 0.6667 0.3331  1 Zn 2.70, 3 Pb 2.79, 3 Er 2.99
Zn: 0.6667 0.3333 0.6669  1 Zn 2.70, 3 Pb 2.79, 3 Er 2.99
Zn: 0.6667 0.3333 0.8331  1 Zn 2.70, 3 Pb 2.79, 3 Er 2.99
Pb: 0.3333 0.6667 0.6147  3 Zn 2.79
Pb: 0.3333 0.6667 0.8853  3 Zn 2.79
Pb: 0.6667 0.3333 0.1147  3 Zn 2.79
Pb: 0.6667 0.3333 0.3853  3 Zn 2.79



ii | First-principles (PBE) data for an optimized crystal structure of NdErZn2Pb2, as listed in the Open Quantum Materials Database.

Lattice parameters (Å, degrees): 4.6329 4.6329 16.1039 90.00 90.00 120.00
With the nearest neighbours (Å) after each atom.
Positions (direct):
Nd: 0.0000 0.0000 0.2500  6 Zn 3.03
Nd: 0.0000 0.0000 0.7500  6 Zn 3.03
Er: 0.0000 0.0000 0.0000  6 Pb 3.18
Er: 0.0000 0.0000 0.5000  6 Pb 3.18
Zn: 0.3333 0.6667 0.1616  3 Pb 2.82, 1 Zn 2.85, 3 Nd 3.03
Zn: 0.3333 0.6667 0.3384  3 Pb 2.82, 1 Zn 2.85, 3 Nd 3.03
Zn: 0.6667 0.3333 0.6616  3 Pb 2.82, 1 Zn 2.85, 3 Nd 3.03
Zn: 0.6667 0.3333 0.8384  3 Pb 2.82, 1 Zn 2.85, 3 Nd 3.03
Pb: 0.3333 0.6667 0.6067  3 Zn 2.82
Pb: 0.3333 0.6667 0.8933  3 Zn 2.82
Pb: 0.6667 0.3333 0.1067  3 Zn 2.82
Pb: 0.6667 0.3333 0.3933  3 Zn 2.82



i wins, 17 meV per atom ahead of the next structure.



i | First-principles (PBE) data for an optimized crystal structure of NdErPt2, as listed in the Open Quantum Materials Database.

Lattice parameters (Å, degrees): 4.5596 5.6246 7.1767 90.00 90.00 90.00
With the nearest neighbours (Å) after each atom.
Positions (direct):
Nd: 0.0000 0.1093 0.0000  7 Pt 2.89-3.10
Nd: 0.0000 0.8907 0.5000  7 Pt 2.89-3.10
Er: 0.5000 0.3905 0.6356  7 Pt 2.94-3.06
Er: 0.5000 0.6095 0.1356  7 Pt 2.94-3.06
Pt: 0.0000 0.4078 0.3635  3 Nd 2.89-3.10, 2 Pt 2.93, 4 Er 3.00-3.03
Pt: 0.0000 0.5922 0.8635  3 Nd 2.89-3.10, 2 Pt 2.93, 4 Er 3.00-3.03
Pt: 0.5000 0.1004 0.2755  2 Pt 2.93, 3 Er 2.94-3.06, 4 Nd 3.02-3.03
Pt: 0.5000 0.8996 0.7755  2 Pt 2.93, 3 Er 2.94-3.06, 4 Nd 3.02-3.03



ii | First-principles (PBE) data for an optimized crystal structure of NdErPt2, as listed in the Open Quantum Materials Database.

Lattice parameters (Å, degrees): 4.5498 7.1552 5.6085 90.00 90.00 90.00
With the nearest neighbours (Å) after each atom.
Positions (direct):
Nd: 0.0000 0.0700 0.0000  7 Pt 2.93-3.20
Nd: 0.5000 0.9300 0.5000  7 Pt 2.93-3.20
Er: 0.0000 0.5669 0.2180  7 Pt 2.86-3.01
Er: 0.5000 0.4331 0.7180  7 Pt 2.86-3.01
Pt: 0.0000 0.2241 0.5152  4 Nd 2.93-3.10, 2 Pt 2.93, 3 Er 2.95-2.97
Pt: 0.0000 0.6879 0.7043  4 Er 2.86-3.01, 2 Pt 2.93, 3 Nd 3.08-3.20
Pt: 0.5000 0.3121 0.2043  4 Er 2.86-3.01, 2 Pt 2.93, 3 Nd 3.08-3.20
Pt: 0.5000 0.7759 0.0152  4 Nd 2.93-3.10, 2 Pt 2.93, 3 Er 2.95-2.97



ii wins, 15 meV per atom ahead of the next structure.